Material: Hg2Bi2F
Method: DFT, GGA-PBE
State: optimized geometry

Properties
ΔE_f (raw), eV/atom: -0.42
Space group: P4/mbm

POSCAR file:
```
Hg2Bi2F
1.0
-2.1463 6.6455 0.9539
-6.5140 -2.3038 1.3927
1.2085 -0.3403 5.0896
Bi Hg F
4 4 2
Cartesian
-2.4905 0.4186 0.6193
-2.5930 4.0847 0.8888
-6.1698 3.9231 1.7273
-6.0674 0.2571 1.4578
-1.1646 1.7271 3.0917
-6.2872 2.2743 4.3446
-3.4196 4.6319 3.8213
-4.0322 -0.6304 3.6149
-4.3302 2.1709 1.1733
0.0000 0.0000 0.0000
```

***

Material: TaPOs2
Method: DFT, GGA-PBE
State: optimized geometry

Properties
Space group: P2/m
DFT formation energy, eV per formula unit: -0.348

POSCAR file:
```
TaPOs2
1.0
4.0475 0.0000 0.0000
0.0000 2.8695 -0.0015
0.0000 1.4097 5.0995
P Ta Os
1 1 2
Cartesian
2.0237 1.4348 -0.0008
2.0237 2.1396 2.5490
0.0000 0.7482 1.1648
0.0000 3.5310 3.9332
```

***

| no. | total moment (μB per cell) | DFT total energy (hartree per atom) |
| --- | --- | --- |
| 1 | 0.00 | -0.0906 |
| 2 | 0.00 | -0.3681 |